# 1
# Ce2CdAu6

A geometry-optimized Ce2CdAu6 structure (GGA-PBE, the Alexandria database). Values from VASP.

Structure (Quantum ESPRESSO input):
```
&SYSTEM
  ibrav = 0, nat = 9, ntyp = 3
/
ATOMIC_SPECIES
Ce 140.12 Ce.upf
Cd 112.41 Cd.upf
Au 196.97 Au.upf
CELL_PARAMETERS angstrom
5.6399 -3.2534 0.0000
5.6399 3.2534 0.0000
-0.0012 0.0000 5.5361
ATOMIC_POSITIONS crystal
Ce 0.1668 0.1668 0.1726
Ce 0.8332 0.8332 0.8274
Cd 0.5000 0.5000 0.0000
Au 0.1265 0.6865 0.3223
Au 0.3129 0.3129 0.6795
Au 0.3135 0.8735 0.6777
Au 0.6865 0.1265 0.3223
Au 0.6871 0.6871 0.3205
Au 0.8735 0.3135 0.6777
```

Computed properties:
Calculated formation energy ... -4.34 eV/f.u.
Space group ... C2/m (12)
DOS(E_F) ... 16.23 states/eV per cell
Magnetic moment ... 2.06 μB per formula unit

# 2
# CeCdAu4

A geometry-optimized CeCdAu4 structure (GGA-PBE, the Alexandria database). Values from VASP.

Structure (Quantum ESPRESSO input):
```
&SYSTEM
  ibrav = 0, nat = 6, ntyp = 3
/
ATOMIC_SPECIES
Ce 140.12 Ce.upf
Cd 112.41 Cd.upf
Au 196.97 Au.upf
CELL_PARAMETERS angstrom
4.7624 0.0000 0.0000
-2.3812 4.1244 0.0000
0.0000 0.0000 6.6708
ATOMIC_POSITIONS crystal
Ce 0.0000 0.0000 0.0000
Cd 0.0000 0.0000 0.5000
Au 0.3333 0.6667 0.2667
Au 0.3333 0.6667 0.7333
Au 0.6667 0.3333 0.2667
Au 0.6667 0.3333 0.7333
```

Computed properties:
Calculated formation energy ... -2.53 eV/f.u.
Space group ... P6/mmm (191)
DOS(E_F) ... 7.58 states/eV per cell
Magnetic moment ... 0.95 μB per formula unit

# 3
# CeCd5Au6

A geometry-optimized CeCd5Au6 structure (GGA-PBE, the Alexandria database). Values from VASP.

Structure (Quantum ESPRESSO input):
```
&SYSTEM
  ibrav = 0, nat = 12, ntyp = 3
/
ATOMIC_SPECIES
Ce 140.12 Ce.upf
Cd 112.41 Cd.upf
Au 196.97 Au.upf
CELL_PARAMETERS angstrom
2.4440 -7.2454 0.0000
2.4440 7.2454 0.0000
0.0000 0.0000 7.0203
ATOMIC_POSITIONS crystal
Ce 0.0000 0.0000 0.0000
Cd 0.0000 0.0000 0.5000
Cd 0.3315 0.6685 0.0000
Cd 0.3378 0.6622 0.5000
Cd 0.6622 0.3378 0.5000
Cd 0.6685 0.3315 0.0000
Au 0.1717 0.8283 0.2609
Au 0.1717 0.8283 0.7391
Au 0.5000 0.5000 0.2594
Au 0.5000 0.5000 0.7406
Au 0.8283 0.1717 0.2609
Au 0.8283 0.1717 0.7391
```

Computed properties:
Calculated formation energy ... -3.25 eV/f.u.
Space group ... Cmmm (65)
DOS(E_F) ... 9.67 states/eV per cell
Magnetic moment ... 0.84 μB per formula unit

# 4
# Ce3Cd5Au2

A geometry-optimized Ce3Cd5Au2 structure (GGA-PBE, the Alexandria database). Values from VASP.

Structure (Quantum ESPRESSO input):
```
&SYSTEM
  ibrav = 0, nat = 20, ntyp = 3
/
ATOMIC_SPECIES
Ce 140.12 Ce.upf
Cd 112.41 Cd.upf
Au 196.97 Au.upf
CELL_PARAMETERS angstrom
-6.2289 6.6592 3.0815
6.2289 -6.6592 3.0815
6.2289 6.6592 -3.0815
ATOMIC_POSITIONS crystal
Ce 0.2473 0.6274 0.8747
Ce 0.2500 0.2500 0.0000
Ce 0.2527 0.1274 0.3801
Ce 0.7473 0.8726 0.6199
Ce 0.7500 0.7500 0.0000
Ce 0.7527 0.3726 0.1253
Cd 0.1427 0.3782 0.5209
Cd 0.2500 0.5043 0.2543
Cd 0.2500 0.7500 0.5000
Cd 0.2500 0.9957 0.7457
Cd 0.3573 0.8782 0.2355
Cd 0.6427 0.1218 0.7645
Cd 0.7500 0.0043 0.2543
Cd 0.7500 0.2500 0.5000
Cd 0.7500 0.4957 0.7457
Cd 0.8573 0.6218 0.4791
Au 0.1529 0.8653 0.0183
Au 0.3471 0.3653 0.7124
Au 0.6529 0.6347 0.2876
Au 0.8471 0.1347 0.9817
```

Computed properties:
Calculated formation energy ... -2.40 eV/f.u.
Space group ... Ibam (72)
DOS(E_F) ... 46.94 states/eV per cell
Magnetic moment ... 3.85 μB per formula unit

# 5
# Ce3Cd4Au4

A geometry-optimized Ce3Cd4Au4 structure (GGA-PBE, the Alexandria database). Values from VASP.

Structure (Quantum ESPRESSO input):
```
&SYSTEM
  ibrav = 0, nat = 11, ntyp = 3
/
ATOMIC_SPECIES
Ce 140.12 Ce.upf
Cd 112.41 Cd.upf
Au 196.97 Au.upf
CELL_PARAMETERS angstrom
9.4328 0.0000 0.0000
0.0000 2.4104 5.6692
0.0000 -2.4104 5.6692
ATOMIC_POSITIONS crystal
Ce 0.0000 0.0000 0.0000
Ce 0.2833 0.1476 0.1476
Ce 0.7167 0.1476 0.1476
Cd 0.0000 0.3054 0.3054
Cd 0.2911 0.8464 0.8464
Cd 0.5000 0.3987 0.3987
Cd 0.7089 0.8464 0.8464
Au 0.0000 0.6762 0.6762
Au 0.2190 0.4820 0.4820
Au 0.5000 0.6619 0.6619
Au 0.7810 0.4820 0.4820
```

Computed properties:
Calculated formation energy ... -4.17 eV/f.u.
Space group ... Amm2 (38)
DOS(E_F) ... 19.26 states/eV per cell
Magnetic moment ... 2.65 μB per formula unit

# 6
# Ce2CdAu6

A geometry-optimized Ce2CdAu6 structure (GGA-PBE, the Alexandria database). Values from VASP.

Structure (Quantum ESPRESSO input):
```
&SYSTEM
  ibrav = 0, nat = 9, ntyp = 3
/
ATOMIC_SPECIES
Ce 140.12 Ce.upf
Cd 112.41 Cd.upf
Au 196.97 Au.upf
CELL_PARAMETERS angstrom
7.2010 -4.1598 0.0000
7.2010 4.1598 0.0000
-0.0069 0.0000 3.3093
ATOMIC_POSITIONS crystal
Ce 0.1667 0.1667 0.0000
Ce 0.8333 0.8333 0.0000
Cd 0.5000 0.5000 0.0000
Au 0.1689 0.5000 0.5015
Au 0.1688 0.8312 0.5000
Au 0.5000 0.1689 0.5015
Au 0.5000 0.8311 0.4985
Au 0.8312 0.1688 0.5000
Au 0.8311 0.5000 0.4985
```

Computed properties:
Calculated formation energy ... -3.97 eV/f.u.
Space group ... C2/m (12)
DOS(E_F) ... 15.18 states/eV per cell
Magnetic moment ... 2.20 μB per formula unit

# 7
# CeCd10Au2

A geometry-optimized CeCd10Au2 structure (GGA-PBE, the Alexandria database). Values from VASP.

Structure (Quantum ESPRESSO input):
```
&SYSTEM
  ibrav = 0, nat = 13, ntyp = 3
/
ATOMIC_SPECIES
Ce 140.12 Ce.upf
Cd 112.41 Cd.upf
Au 196.97 Au.upf
CELL_PARAMETERS angstrom
0.0000 7.0193 7.1039
2.9056 0.0000 7.1039
2.9056 7.0193 0.0000
ATOMIC_POSITIONS crystal
Ce 0.0000 0.0000 0.0000
Cd 0.0000 0.5000 0.0000
Cd 0.0068 0.6502 0.3498
Cd 0.2875 0.5033 0.4967
Cd 0.3498 0.9932 0.0068
Cd 0.4967 0.7125 0.2875
Cd 0.5000 0.0000 0.5000
Cd 0.5033 0.2875 0.7125
Cd 0.6502 0.0068 0.9932
Cd 0.7125 0.4967 0.5033
Cd 0.9932 0.3498 0.6502
Au 0.0000 0.0000 0.5000
Au 0.5000 0.5000 0.0000
```

Computed properties:
Calculated formation energy ... -1.85 eV/f.u.
Space group ... Fmmm (69)
DOS(E_F) ... 13.21 states/eV per cell
Magnetic moment ... 1.18 μB per formula unit

# 8
# CeCdAu3

A geometry-optimized CeCdAu3 structure (GGA-PBE, the Alexandria database). Values from VASP.

Structure (Quantum ESPRESSO input):
```
&SYSTEM
  ibrav = 0, nat = 10, ntyp = 3
/
ATOMIC_SPECIES
Ce 140.12 Ce.upf
Cd 112.41 Cd.upf
Au 196.97 Au.upf
CELL_PARAMETERS angstrom
9.2741 -2.5928 0.0000
9.2741 2.5928 0.0000
-1.3949 0.0000 4.9082
ATOMIC_POSITIONS crystal
Ce 0.1144 0.1144 0.3648
Ce 0.8856 0.8856 0.6352
Cd 0.3731 0.3731 0.1226
Cd 0.6269 0.6269 0.8774
Au 0.2039 0.2039 0.9536
Au 0.2901 0.2901 0.5396
Au 0.4678 0.4678 0.7179
Au 0.5322 0.5322 0.2821
Au 0.7099 0.7099 0.4604
Au 0.7961 0.7961 0.0464
```

Computed properties:
Calculated formation energy ... -1.83 eV/f.u.
Space group ... C2/m (12)
DOS(E_F) ... 17.19 states/eV per cell
Magnetic moment ... 0.96 μB per formula unit

# 9
# Ce4CdAu2

A geometry-optimized Ce4CdAu2 structure (GGA-PBE, the Alexandria database). Values from VASP.

Structure (Quantum ESPRESSO input):
```
&SYSTEM
  ibrav = 0, nat = 7, ntyp = 3
/
ATOMIC_SPECIES
Ce 140.12 Ce.upf
Cd 112.41 Cd.upf
Au 196.97 Au.upf
CELL_PARAMETERS angstrom
2.5682 1.4828 8.3426
-2.5682 1.4828 8.3426
0.0000 -2.9656 8.3426
ATOMIC_POSITIONS crystal
Ce 0.1107 0.1107 0.1107
Ce 0.2698 0.2698 0.2698
Ce 0.7302 0.7302 0.7302
Ce 0.8893 0.8893 0.8893
Cd 0.5000 0.5000 0.5000
Au 0.3867 0.3867 0.3867
Au 0.6133 0.6133 0.6133
```

Computed properties:
Calculated formation energy ... -1.25 eV/f.u.
Space group ... R-3m (166)
DOS(E_F) ... 20.81 states/eV per cell
Magnetic moment ... 3.36 μB per formula unit

# 10
# Ce2CdAu

A geometry-optimized Ce2CdAu structure (GGA-PBE, the Alexandria database). Values from VASP.

Structure (Quantum ESPRESSO input):
```
&SYSTEM
  ibrav = 0, nat = 16, ntyp = 3
/
ATOMIC_SPECIES
Ce 140.12 Ce.upf
Cd 112.41 Cd.upf
Au 196.97 Au.upf
CELL_PARAMETERS angstrom
7.5121 0.0000 0.0000
0.0000 7.5121 0.0000
0.0000 0.0000 7.5121
ATOMIC_POSITIONS crystal
Ce 0.2500 0.2500 0.2500
Ce 0.2500 0.2500 0.7500
Ce 0.2500 0.7500 0.2500
Ce 0.2500 0.7500 0.7500
Ce 0.7500 0.2500 0.2500
Ce 0.7500 0.2500 0.7500
Ce 0.7500 0.7500 0.2500
Ce 0.7500 0.7500 0.7500
Cd 0.0000 0.0000 0.0000
Cd 0.0000 0.5000 0.5000
Cd 0.5000 0.0000 0.5000
Cd 0.5000 0.5000 0.0000
Au 0.0000 0.0000 0.5000
Au 0.0000 0.5000 0.0000
Au 0.5000 0.0000 0.0000
Au 0.5000 0.5000 0.5000
```

Computed properties:
Calculated formation energy ... -1.25 eV/f.u.
Space group ... Fm-3m (225)
DOS(E_F) ... 64.04 states/eV per cell
Magnetic moment ... 2.31 μB per formula unit

# 11
# Ce2Cd2Au15

A geometry-optimized Ce2Cd2Au15 structure (GGA-PBE, the Alexandria database). Values from VASP.

Structure (Quantum ESPRESSO input):
```
&SYSTEM
  ibrav = 0, nat = 19, ntyp = 3
/
ATOMIC_SPECIES
Ce 140.12 Ce.upf
Cd 112.41 Cd.upf
Au 196.97 Au.upf
CELL_PARAMETERS angstrom
4.8176 2.7815 4.8765
-4.8176 2.7815 4.8765
0.0000 -5.5629 4.8765
ATOMIC_POSITIONS crystal
Ce 0.1503 0.1503 0.1503
Ce 0.8497 0.8497 0.8497
Cd 0.3975 0.3975 0.3975
Cd 0.6025 0.6025 0.6025
Au 0.0000 0.5000 0.5000
Au 0.1412 0.1412 0.6576
Au 0.1412 0.6576 0.1412
Au 0.1954 0.5000 0.8046
Au 0.1954 0.8046 0.5000
Au 0.3424 0.8588 0.8588
Au 0.5000 0.0000 0.5000
Au 0.5000 0.1954 0.8046
Au 0.5000 0.5000 0.0000
Au 0.5000 0.8046 0.1954
Au 0.6576 0.1412 0.1412
Au 0.8046 0.1954 0.5000
Au 0.8046 0.5000 0.1954
Au 0.8588 0.3424 0.8588
Au 0.8588 0.8588 0.3424
```

Computed properties:
Calculated formation energy ... -4.96 eV/f.u.
Space group ... R-3m (166)
DOS(E_F) ... 21.54 states/eV per cell
Magnetic moment ... 2.35 μB per formula unit

# 12
# CeCdAu2

A geometry-optimized CeCdAu2 structure (GGA-PBE, the Alexandria database). Values from VASP.

Structure (Quantum ESPRESSO input):
```
&SYSTEM
  ibrav = 0, nat = 12, ntyp = 3
/
ATOMIC_SPECIES
Ce 140.12 Ce.upf
Cd 112.41 Cd.upf
Au 196.97 Au.upf
CELL_PARAMETERS angstrom
4.2992 0.0000 0.0000
-2.1496 3.7232 0.0000
0.0000 0.0000 19.6104
ATOMIC_POSITIONS crystal
Ce 0.0000 0.0000 0.0000
Ce 0.3333 0.6667 0.6667
Ce 0.6667 0.3333 0.3333
Cd 0.0000 0.0000 0.8256
Cd 0.3333 0.6667 0.4923
Cd 0.6667 0.3333 0.1589
Au 0.0000 0.0000 0.4203
Au 0.0000 0.0000 0.5752
Au 0.3333 0.6667 0.0869
Au 0.3333 0.6667 0.2418
Au 0.6667 0.3333 0.7536
Au 0.6667 0.3333 0.9085
```

Computed properties:
Calculated formation energy ... -1.50 eV/f.u.
Space group ... R3m (160)
DOS(E_F) ... 23.74 states/eV per cell
Magnetic moment ... 0.87 μB per formula unit